# 1
The following is a DFT calculation (GGA-PBE) of an optimized crystal structure of AcLa2Ho12.

Unit cell a=3.5533 b=5.6700 c=25.2640 alpha=90.00 beta=90.07 gamma=90.00
Space group P2/m (No. 10)
One atom of each set of equivalent atoms:
Ac 0.0000 0.0000 0.0000 [1 per cell]
La 0.0002 0.0000 0.2727 [2 per cell]
Ho 0.0015 0.5000 0.4389 [2 per cell]
Ho 0.0007 0.5000 0.9131 [2 per cell]
Ho 0.4991 0.0000 0.5830 [2 per cell]
Ho 0.4999 0.0000 0.1329 [2 per cell]
Ho 0.5000 0.5000 0.2039 [2 per cell]
Ho 0.5005 0.5000 0.3311 [2 per cell]

## Properties
Energy of formation from the pure elements in eV/atom: 0.17
M_tot in μB/f.u.: 0.00


# 2
The following is a DFT calculation (GGA-PBE) of an optimized crystal structure of NaAgI2O8.

Unit cell a=7.6387 b=7.6387 c=6.8900 alpha=90.00 beta=90.00 gamma=90.00
Space group I-4m2 (No. 119)
One atom of each set of equivalent atoms:
Na 0.0000 0.0000 0.0000 [2 per cell]
Ag 0.0000 0.5000 0.7500 [2 per cell]
I 0.0000 0.0000 0.5000 [2 per cell]
I 0.0000 0.5000 0.2500 [2 per cell]
O 0.0000 0.1882 0.6604 [8 per cell]
O 0.0000 0.3131 0.0920 [8 per cell]

## Properties
E_form (uncorrected) in eV per atom: -0.3132
M_tot in μB/f.u.: 0.00


# 3
The following is a DFT calculation (GGA-PBE) of an optimized crystal structure of LaPr2Y.

Unit cell a=3.6952 b=5.2423 c=7.3011 alpha=90.00 beta=90.00 gamma=90.00
Space group Pmmm (No. 47)
One atom of each set of equivalent atoms:
La 0.0000 0.0000 0.0000 [1 per cell]
Pr 0.5000 0.5000 0.2540 [2 per cell]
Y 0.0000 0.0000 0.5000 [1 per cell]

## Properties
Energy of formation from the pure elements in eV/atom: 0.01
Energy above the most stable polymorph in this dataset in eV per formula unit: 0.00
M_tot in μB/f.u.: 0.00


# 4
The following is a DFT calculation (GGA-PBE) of an optimized crystal structure of LaH6Pd4Au.

Unit cell a=4.8159 b=4.8159 c=6.8162 alpha=90.00 beta=90.00 gamma=120.00
Space group P6/mmm (No. 191)
One atom of each set of equivalent atoms:
La 0.0000 0.0000 0.0000 [1 per cell]
H 0.0000 0.5000 0.1508 [6 per cell]
Pd 0.3333 0.6667 0.3023 [4 per cell]
Au 0.0000 0.0000 0.5000 [1 per cell]

## Properties
Final energy in eV per atom: -4.3764
M_tot in μB/f.u.: 0.00


# 5
The following is a DFT calculation (GGA-PBE) of an optimized crystal structure of BaTl2Cl8.

Unit cell a=6.7157 b=6.7157 c=7.3750 alpha=90.00 beta=90.00 gamma=90.00
Space group P4/mmm (No. 123)
One atom of each set of equivalent atoms:
Ba 0.0000 0.0000 0.0000 [1 per cell]
Tl 0.0000 0.5000 0.5000 [2 per cell]
Cl 0.2535 0.2535 0.2796 [8 per cell]

## Properties
Energy above the most stable polymorph in this dataset in eV per formula unit: 1.65
E_form (uncorrected) in eV per atom: -0.9340
M_tot in μB/f.u.: 0.00


# 6
The following is a DFT calculation (GGA-PBE) of an optimized crystal structure of Tb2PmIn2Ag2.

Unit cell a=4.8824 b=4.8824 c=26.8745 alpha=90.00 beta=90.00 gamma=120.00
Space group R-3m (No. 166, hexagonal axes)
One atom of each set of equivalent atoms:
Tb 0.0000 0.0000 0.1266 [6 per cell]
Pm 0.0000 0.0000 0.0000 [3 per cell]
In 0.0000 0.0000 0.2590 [6 per cell]
Ag 0.0000 0.0000 0.4019 [6 per cell]

## Properties
Energy of formation from the pure elements in eV/atom: -0.29
M_tot in μB/f.u.: 0.00


# 7
The following is a DFT calculation (GGA-PBE) of an optimized crystal structure of Ac4Pm3PuS8.

Unit cell a=8.3008 b=8.3008 c=20.5147 alpha=90.00 beta=90.00 gamma=120.00
Space group R-3m (No. 166, hexagonal axes)
One atom of each set of equivalent atoms:
Ac 0.0000 0.0000 0.0000 [3 per cell]
Ac 0.0000 0.5000 0.0000 [9 per cell]
Pm 0.0000 0.5000 0.5000 [9 per cell]
Pu 0.0000 0.0000 0.5000 [3 per cell]
S 0.0000 0.0000 0.2439 [6 per cell]
S 0.0029 0.5014 0.2432 [18 per cell]

## Properties
E_form (uncorrected) in eV per atom: -1.9778
M_tot in μB/f.u.: 5.67


# 8
The following is a DFT calculation (GGA-PBE) of an optimized crystal structure of PmNd4Ge2.

Unit cell a=5.0126 b=5.0126 c=30.6705 alpha=90.00 beta=90.00 gamma=120.00
Space group R-3m (No. 166, hexagonal axes)
One atom of each set of equivalent atoms:
Pm 0.0000 0.0000 0.0000 [3 per cell]
Nd 0.0000 0.0000 0.2019 [6 per cell]
Nd 0.0000 0.0000 0.3949 [6 per cell]
Ge 0.0000 0.0000 0.1000 [6 per cell]

## Properties
Energy of formation from the pure elements in eV/atom: -0.35
M_tot in μB/f.u.: 0.01


Question: Which value of M_tot does entry 2 give?
Answer: 0.00 μB/f.u.